1:
Material: TbHoAlPd
Method: DFT, PBE
State: optimized geometry

a b c (Å): 3.7798 4.4676 5.8937
angles (deg): 90.00 108.70 90.00
With the nearest neighbours (Å) after each atom.
Positions (direct):
Tb 0.8528 0.5000 0.7057  4 Pd 3.05, 3 Al 3.09-3.14
Pd 0.4298 0.0000 0.8596  2 Al 2.74, 4 Tb 3.05
Ho 0.1460 0.0000 0.2919  4 Al 3.04, 3 Pd 3.07-3.17
Al 0.5714 0.5000 0.1428  2 Pd 2.74, 4 Ho 3.04

Properties
Calculated volume in Å³ per cell: 94.3
Total magnetic moment in μB/f.u.: 0.00



2:
Material: TbHoAlPd
Method: DFT, PBE
State: optimized geometry

a b c (Å): 5.0572 5.0572 5.0572
angles (deg): 60.00 60.00 60.00
With the nearest neighbours (Å) after each atom.
Positions (direct):
Tb 0.5000 0.5000 0.5000  4 Al 3.10, 4 Pd 3.10
Al 0.7500 0.7500 0.7500  4 Ho 3.10, 4 Tb 3.10
Ho 0.0000 0.0000 0.0000  4 Pd 3.10, 4 Al 3.10
Pd 0.2500 0.2500 0.2500  4 Tb 3.10, 4 Ho 3.10

Properties
Calculated volume in Å³ per cell: 91.5
Total magnetic moment in μB/f.u.: 0.00



1 comes first in stability; the runner-up is 4.2 kJ/mol of atoms higher.



1:
Material: HoTmAlPd
Method: DFT, PBE
State: optimized geometry

a b c (Å): 5.0105 5.0105 5.0105
angles (deg): 60.00 60.00 60.00
With the nearest neighbours (Å) after each atom.
Positions (direct):
Pd 0.0000 0.0000 0.0000  4 Ho 3.07, 4 Tm 3.07
Tm 0.7500 0.7500 0.7500  4 Al 3.07, 4 Pd 3.07
Ho 0.2500 0.2500 0.2500  4 Al 3.07, 4 Pd 3.07
Al 0.5000 0.5000 0.5000  4 Ho 3.07, 4 Tm 3.07

Properties
Calculated volume in Å³ per cell: 88.9
Total magnetic moment in μB/f.u.: 0.00



2:
Material: HoTmAlPd
Method: DFT, PBE
State: optimized geometry

a b c (Å): 3.7339 4.4536 5.8323
angles (deg): 90.00 108.67 90.00
With the nearest neighbours (Å) after each atom.
Positions (direct):
Tm 0.1468 0.0000 0.2937  4 Al 3.02, 3 Pd 3.05-3.12
Al 0.5718 0.5000 0.1437  2 Pd 2.73, 4 Tm 3.02
Ho 0.8524 0.5000 0.7047  4 Pd 3.03, 3 Al 3.06-3.10
Pd 0.4290 0.0000 0.8579  2 Al 2.73, 4 Ho 3.03, 2 Tm 3.05

Properties
Calculated volume in Å³ per cell: 91.9
Total magnetic moment in μB/f.u.: 0.00



2 comes first in stability; the runner-up is 3.4 kJ/mol of atoms higher.



1:
Material: YHoAlPd
Method: DFT, PBE
State: optimized geometry

a b c (Å): 5.0514 5.0514 5.0514
angles (deg): 60.00 60.00 60.00
With the nearest neighbours (Å) after each atom.
Positions (direct):
Pd 0.0000 0.0000 0.0000  4 Y 3.09, 4 Ho 3.09
Al 0.5000 0.5000 0.5000  4 Ho 3.09, 4 Y 3.09
Y 0.7500 0.7500 0.7500  4 Al 3.09, 4 Pd 3.09
Ho 0.2500 0.2500 0.2500  4 Al 3.09, 4 Pd 3.09

Properties
Calculated volume in Å³ per cell: 91.1
Total magnetic moment in μB/f.u.: 0.00



2:
Material: YHoAlPd
Method: DFT, PBE
State: optimized geometry

a b c (Å): 3.7892 4.4320 5.9081
angles (deg): 90.00 108.70 90.00
With the nearest neighbours (Å) after each atom.
Positions (direct):
Ho 0.8540 0.5000 0.7079  4 Pd 3.03, 3 Al 3.07-3.17
Al 0.5704 0.5000 0.1407  2 Pd 2.73, 4 Y 3.04
Pd 0.4279 0.0000 0.8557  2 Al 2.73, 4 Ho 3.03
Y 0.1478 0.0000 0.2956  4 Al 3.04, 3 Pd 3.11-3.13

Properties
Calculated volume in Å³ per cell: 94.0
Total magnetic moment in μB/f.u.: 0.00



2 comes first in stability; the runner-up is 4.5 kJ/mol of atoms higher.



1:
Material: Pm3Ho2Al3
Method: DFT, PBE
State: optimized geometry

a b c (Å): 3.7207 5.2765 11.4119
angles (deg): 103.37 99.38 90.00
With the nearest neighbours (Å) after each atom.
Positions (direct):
Pm 0.5000 0.0000 0.0000  8 Al 3.21-3.23
Pm 0.3798 0.3798 0.7597  6 Al 3.22-3.23, 2 Ho 3.58
Pm 0.6202 0.6202 0.2403  6 Al 3.22-3.23, 2 Ho 3.58
Al 0.0000 0.5000 0.0000  8 Pm 3.22-3.23
Al 0.1196 0.1196 0.2391  2 Ho 3.06, 6 Pm 3.21-3.23
Al 0.8804 0.8804 0.7609  2 Ho 3.06, 6 Pm 3.21-3.23
Ho 0.7307 0.2307 0.4613  2 Al 3.06, 4 Ho 3.34
Ho 0.2693 0.7693 0.5387  2 Al 3.06, 4 Ho 3.34

Properties
Calculated volume in Å³ per cell: 214.9
Total magnetic moment in μB/f.u.: 0.00



2:
Material: Pm3Ho2Al3
Method: DFT, PBE
State: optimized geometry

a b c (Å): 3.3130 8.5553 8.5553
angles (deg): 120.00 90.00 90.00
With the nearest neighbours (Å) after each atom.
Positions (direct):
Pm 0.0000 0.2444 0.0000  2 Ho 3.30, 4 Pm 3.31-3.62, 6 Al 3.34-3.56
Pm 0.0000 0.0000 0.2444  2 Ho 3.30, 4 Pm 3.31-3.62, 6 Al 3.34-3.56
Pm 0.0000 0.7556 0.7556  2 Ho 3.30, 4 Pm 3.31-3.62, 6 Al 3.34-3.56
Ho 0.0000 0.3333 0.6667  6 Al 3.13, 3 Pm 3.30, 2 Ho 3.31
Ho 0.0000 0.6667 0.3333  6 Al 3.13, 3 Pm 3.30, 2 Ho 3.31
Al 0.5000 0.0000 0.6130  4 Ho 3.13, 2 Al 3.31, 4 Pm 3.34
Al 0.5000 0.6130 0.0000  4 Ho 3.13, 2 Al 3.31, 4 Pm 3.34
Al 0.5000 0.3870 0.3870  4 Ho 3.13, 2 Al 3.31, 4 Pm 3.34

Properties
Calculated volume in Å³ per cell: 210.0
Total magnetic moment in μB/f.u.: 0.00



1 comes first in stability; the runner-up is 4.7 kJ/mol of atoms higher.



1:
Material: PmHoAl6
Method: DFT, PBE
State: optimized geometry

a b c (Å): 5.5391 5.5391 5.5391
angles (deg): 90.00 90.00 90.00
With the nearest neighbours (Å) after each atom.
Positions (direct):
Al 0.5000 0.7513 0.0000  2 Al 2.75-2.78
Al 0.2487 0.0000 0.5000  2 Al 2.75-2.78
Al 0.7513 0.0000 0.5000  2 Al 2.75-2.78
Al 0.0000 0.5000 0.7513  2 Al 2.75-2.78
Al 0.0000 0.5000 0.2487  2 Al 2.75-2.78
Al 0.5000 0.2487 0.0000  2 Al 2.75-2.78
Pm 0.5000 0.5000 0.5000  12 Al 3.10
Ho 0.0000 0.0000 0.0000  12 Al 3.09

Properties
Calculated volume in Å³ per cell: 169.9
Total magnetic moment in μB/f.u.: 0.00



2:
Material: PmHoAl6
Method: DFT, PBE
State: optimized geometry

a b c (Å): 4.6605 6.3206 6.3206
angles (deg): 119.96 90.00 90.00
With the nearest neighbours (Å) after each atom.
Positions (direct):
Al 0.0000 0.6061 0.3939  6 Al 2.73-2.82
Al 0.5000 0.8959 0.5421  6 Al 2.77-2.82
Al 0.5000 0.8962 0.1038  6 Al 2.77-2.82, 2 Ho 3.10
Al 0.5000 0.4579 0.1041  6 Al 2.77-2.82
Al 0.0000 0.0373 0.3937  6 Al 2.73-2.82
Al 0.0000 0.6063 0.9627  6 Al 2.73-2.82
Ho 0.0000 0.0834 0.9166  12 Al 3.10-3.17
Pm 0.5000 0.4165 0.5835  12 Al 3.12-3.17

Properties
Calculated volume in Å³ per cell: 161.3
Total magnetic moment in μB/f.u.: 0.00



2 comes first in stability; the runner-up is 35.6 kJ/mol of atoms higher.



1:
Material: Pm3HoAl
Method: DFT, PBE
State: optimized geometry

a b c (Å): 3.6642 6.8414 12.5573
angles (deg): 84.61 90.00 74.47
With the nearest neighbours (Å) after each atom.
Positions (direct):
Pm 0.0365 0.9270 0.1958  2 Al 3.25, 5 Pm 3.32-3.63, 1 Ho 3.51
Pm 0.8574 0.2851 0.5536  4 Al 3.17-3.20, 3 Pm 3.32-3.53
Pm 0.9635 0.0730 0.8042  2 Al 3.25, 5 Pm 3.32-3.63, 1 Ho 3.51
Pm 0.1426 0.7149 0.4464  4 Al 3.17-3.20, 3 Pm 3.32-3.53
Pm 0.3632 0.2736 0.0208  9 Pm 3.50-3.69, 3 Ho 3.70-3.78
Pm 0.6368 0.7264 0.9792  9 Pm 3.50-3.69, 3 Ho 3.70-3.78
Ho 0.7817 0.4367 0.2540  2 Al 3.16, 1 Pm 3.51
Ho 0.2183 0.5633 0.7460  2 Al 3.16, 1 Pm 3.51
Al 0.4476 0.1049 0.3797  2 Ho 3.16, 6 Pm 3.17-3.25, 1 Al 3.20
Al 0.5524 0.8951 0.6203  2 Ho 3.16, 6 Pm 3.17-3.25, 1 Al 3.20

Properties
Calculated volume in Å³ per cell: 301.9
Total magnetic moment in μB/f.u.: 0.00



2:
Material: Pm3HoAl
Method: DFT, PBE
State: optimized geometry

a b c (Å): 5.2255 9.4763 5.7583
angles (deg): 145.37 90.00 90.00
With the nearest neighbours (Å) after each atom.
Positions (direct):
Pm 0.0000 0.3445 0.3206  1 Al 3.00
Pm 0.5000 0.4374 0.8748  2 Al 3.08, 1 Ho 3.09
Pm 0.0000 0.9761 0.3206  1 Al 3.00
Ho 0.5000 0.9099 0.8199  2 Al 2.99, 1 Pm 3.09
Al 0.0000 0.6866 0.3733  2 Ho 2.99, 4 Pm 3.00-3.08

Properties
Calculated volume in Å³ per cell: 162.0
Total magnetic moment in μB/f.u.: 0.00



1 comes first in stability; the runner-up is 20.4 kJ/mol of atoms higher.